Entry from the Alexandria database: crystalline SbMo2P at its relaxed geometry (GGA-PBEsol).

a = 3.4360 Å, b = 3.4360 Å, c = 20.3608 Å
α = 90.00°, β = 90.00°, γ = 120.00°
Space group R-3m (No. 166, hexagonal axes)
One atom of each set of equivalent atoms:
Sb 0.0000 0.0000 0.0000 (multiplicity 3)
Mo 0.0000 0.0000 0.2257 (multiplicity 6)
P 0.0000 0.0000 0.5000 (multiplicity 3)

Calculated values
Formation energy (no corrections) ... -0.064 eV/atom
Energy relative to the lowest polymorph listed for this composition ... 32.3 meV/atom



Entry from the Alexandria database: crystalline Li4Mn3Fe3W2O16 at its relaxed geometry (GGA-PBEsol).

a = 5.7402 Å, b = 5.8403 Å, c = 9.6388 Å
α = 91.73°, β = 90.79°, γ = 118.96°
Space group P1 (No. 1)
One atom of each set of equivalent atoms:
Li 0.0000 0.0000 0.0000 (multiplicity 1)
Li 0.0051 0.0185 0.5016 (multiplicity 1)
Li 0.3466 0.7052 0.5862 (multiplicity 1)
Li 0.6807 0.3539 0.0789 (multiplicity 1)
Mn 0.1789 0.3610 0.2800 (multiplicity 1)
Mn 0.3424 0.1912 0.7740 (multiplicity 1)
Mn 0.8384 0.1897 0.7746 (multiplicity 1)
Fe 0.1800 0.8479 0.2701 (multiplicity 1)
Fe 0.6610 0.8533 0.2723 (multiplicity 1)
Fe 0.8318 0.6728 0.7781 (multiplicity 1)
W 0.3448 0.6823 0.0031 (multiplicity 1)
W 0.6844 0.3815 0.5018 (multiplicity 1)
O 0.0093 0.0304 0.1891 (multiplicity 1)
O 0.0473 0.5204 0.1430 (multiplicity 1)
O 0.1389 0.7906 0.8981 (multiplicity 1)
O 0.1619 0.3278 0.8968 (multiplicity 1)
O 0.3397 0.6844 0.3815 (multiplicity 1)
O 0.3437 0.2075 0.4065 (multiplicity 1)
O 0.4858 0.9852 0.1281 (multiplicity 1)
O 0.4979 0.5380 0.1359 (multiplicity 1)
O 0.5273 0.0716 0.6487 (multiplicity 1)
O 0.5399 0.5247 0.6438 (multiplicity 1)
O 0.6451 0.7989 0.8935 (multiplicity 1)
O 0.6730 0.3525 0.8744 (multiplicity 1)
O 0.8268 0.1904 0.4115 (multiplicity 1)
O 0.8357 0.6790 0.3977 (multiplicity 1)
O 0.9718 0.5238 0.6442 (multiplicity 1)
O 0.9960 0.0025 0.6892 (multiplicity 1)

Calculated values
Formation energy (no corrections) ... -1.747 eV/atom



Entry from the Alexandria database: crystalline La2InCl at its relaxed geometry (GGA-PBEsol).

a = 3.5997 Å, b = 4.6925 Å, c = 13.4996 Å
α = 90.00°, β = 90.00°, γ = 90.00°
Space group Imm2 (No. 44)
One atom of each set of equivalent atoms:
La 0.0000 0.0000 0.0000 (multiplicity 2)
La 0.0000 0.5000 0.2289 (multiplicity 2)
In 0.0000 0.0000 0.4067 (multiplicity 2)
Cl 0.0000 0.5000 0.6755 (multiplicity 2)

Calculated values
Formation energy (no corrections) ... -0.870 eV/atom
Energy relative to the lowest polymorph listed for this composition ... 141.8 meV/atom



Entry from the Alexandria database: crystalline Tl2ZnNi at its relaxed geometry (GGA-PBEsol).

a = 3.3380 Å, b = 3.3380 Å, c = 24.1813 Å
α = 90.00°, β = 90.00°, γ = 120.00°
Space group R-3m (No. 166, hexagonal axes)
One atom of each set of equivalent atoms:
Tl 0.0000 0.0000 0.2424 (multiplicity 6)
Zn 0.0000 0.0000 0.0000 (multiplicity 3)
Ni 0.0000 0.0000 0.5000 (multiplicity 3)

Calculated values
Energy relative to the elements ... 1.21 eV/f.u.
Energy relative to the lowest polymorph listed for this composition ... 72.2 meV/atom



In the order shown, the computed DFT total energy values come out to -102.42; -224.57; -38.33; -35.36 eV per cell.